Here is a geometry-optimized LiCaSeBrF structure from the Alexandria database. Energies are from PBE-GGA.

Lattice parameters (Å, degrees): 6.6287 3.6679 13.0508 90.00 117.93 90.00
Positions (direct):
1 Ca 0.4119 0.0000 0.7571
2 Ca 0.4119 0.5000 0.2571
3 F 0.5362 0.0000 0.3706
4 F 0.5362 0.5000 0.8706
5 Br 0.5437 0.0000 0.1142
6 Br 0.5437 0.5000 0.6142
7 Se 0.0382 0.0000 0.1107
8 Se 0.0382 0.5000 0.6107
9 Li 0.7259 0.0000 0.5301
10 Li 0.7259 0.5000 0.0301

Energy relative to the elements, uncorrected (meV/atom): -1906.0
Final energy (Ry/atom): -0.301
M_tot (μB per formula unit): 0.00
DOS at the Fermi energy (states/eV per cell): 2.6
Space group: Cm
Offset from the most stable computed form (meV/atom): 49

=====

Here is a geometry-optimized TbHgRh structure from the Alexandria database. Energies are from PBE-GGA.

Lattice parameters (Å, degrees): 3.3788 5.6575 7.4783 70.96 90.00 89.99
Positions (direct):
1 Tb 0.9999 0.3951 0.7431
2 Tb 0.0001 0.6049 0.2569
3 Hg 0.4997 0.8427 0.8540
4 Hg 0.5003 0.1573 0.1460
5 Rh 0.5002 0.2363 0.5004
6 Rh 0.4998 0.7637 0.4996

Final energy (Ry/atom): -0.337
M_tot (μB per formula unit): 0.00
DOS at the Fermi energy (states/eV per cell): 3.4
Space group: P2/m
Energy relative to the elements (eV/f.u.): -1.47

=====

Here is a geometry-optimized Sr2PmScSe4 structure from the Alexandria database. Energies are from PBE-GGA.

Lattice parameters (Å, degrees): 4.1942 7.2543 7.4358 109.02 90.00 90.00
Positions (direct):
1 Sr 0.5000 0.0000 0.5000
2 Sr 0.0000 0.5000 0.5000
3 Pm 0.5000 0.5000 0.0000
4 Sc 0.0000 0.0000 0.0000
5 Se 0.5000 0.2304 0.2244
6 Se 0.5000 0.7696 0.7756
7 Se 0.0000 0.2442 0.7678
8 Se 0.0000 0.7558 0.2322

Energy relative to the elements, uncorrected (meV/atom): -1828.1
Final energy (Ry/atom): -0.395
M_tot (μB per formula unit): 0.00
DOS at the Fermi energy (states/eV per cell): 3.9
Space group: P2/m

=====

Here is a geometry-optimized Li5Ga2Rh structure from the Alexandria database. Energies are from PBE-GGA.

Lattice parameters (Å, degrees): 3.1084 6.3448 12.1902 90.00 90.00 90.00
Positions (direct):
1 Li 0.0000 0.0000 0.0000
2 Li 0.0000 0.5000 0.5000
3 Li 0.0000 0.4828 0.7454
4 Li 0.0000 0.5172 0.2546
5 Li 0.0000 0.0172 0.2454
6 Li 0.0000 0.9828 0.7546
7 Li 0.5000 0.2625 0.8809
8 Li 0.5000 0.7375 0.1191
9 Li 0.5000 0.2375 0.3809
10 Li 0.5000 0.7625 0.6191
11 Ga 0.5000 0.2270 0.6182
12 Ga 0.5000 0.7730 0.3818
13 Ga 0.5000 0.2730 0.1182
14 Ga 0.5000 0.7270 0.8818
15 Rh 0.0000 0.0000 0.5000
16 Rh 0.0000 0.5000 0.0000

Final energy (Ry/atom): -0.234
M_tot (μB per formula unit): 0.00
DOS at the Fermi energy (states/eV per cell): 6.7
Space group: Pbam
Energy relative to the elements (eV/f.u.): -2.47
Offset from the most stable computed form (meV/atom): 8

=====

Here is a geometry-optimized KPuPdO6 structure from the Alexandria database. Energies are from PBE-GGA.

Lattice parameters (Å, degrees): 5.3078 5.3078 12.3596 90.00 90.00 120.00
Positions (direct):
1 K 0.0000 0.0000 0.0000
2 K 0.0000 0.0000 0.5000
3 Pu 0.6667 0.3333 0.2500
4 Pu 0.3333 0.6667 0.7500
5 Pd 0.3333 0.6667 0.2500
6 Pd 0.6667 0.3333 0.7500
7 O 0.6383 0.6354 0.1594
8 O 0.9971 0.3617 0.1594
9 O 0.3617 0.9971 0.6594
10 O 0.0029 0.6383 0.8406
11 O 0.3646 0.3617 0.3406
12 O 0.9971 0.6354 0.3406
13 O 0.6354 0.9971 0.8406
14 O 0.6383 0.0029 0.3406
15 O 0.0029 0.3646 0.6594
16 O 0.3646 0.0029 0.1594
17 O 0.6354 0.6383 0.6594
18 O 0.3617 0.3646 0.8406

Energy relative to the elements, uncorrected (meV/atom): -1568.6
Final energy (Ry/atom): -0.527
M_tot (μB per formula unit): 0.98
Space group: P-31c

=====

Here is a geometry-optimized SrPd2Au4 structure from the Alexandria database. Energies are from PBE-GGA.

Lattice parameters (Å, degrees): 5.5045 5.7173 5.7173 76.60 61.22 61.22
Positions (direct):
1 Sr 0.0000 0.0000 0.0000
2 Pd 0.7500 0.5000 0.5000
3 Pd 0.2500 0.5000 0.5000
4 Au 0.6979 0.0000 0.6042
5 Au 0.3021 0.0000 0.3958
6 Au 0.3021 0.3958 0.0000
7 Au 0.6979 0.6042 0.0000

Final energy (Ry/atom): -0.295
M_tot (μB per formula unit): 0.00
DOS at the Fermi energy (states/eV per cell): 3.0
Space group: I4/mmm
Energy relative to the elements (eV/f.u.): -2.94

=====

Here is a geometry-optimized LaLuScAg structure from the Alexandria database. Energies are from PBE-GGA.

Lattice parameters (Å, degrees): 5.3422 5.3422 5.3422 60.00 60.00 60.00
Positions (direct):
1 Sc 0.7500 0.7500 0.7500
2 Lu 0.0000 0.0000 0.0000
3 Ag 0.2500 0.2500 0.2500
4 La 0.5000 0.5000 0.5000

Final energy (Ry/atom): -0.338
M_tot (μB per formula unit): 0.00
DOS at the Fermi energy (states/eV per cell): 6.2
Space group: F-43m
Energy relative to the elements (eV/f.u.): 0.21

=====

Here is a geometry-optimized TlZnSnBr5 structure from the Alexandria database. Energies are from PBE-GGA.

Lattice parameters (Å, degrees): 7.9875 7.9875 10.6167 104.61 104.61 105.42
Positions (direct):
1 Tl 0.3492 0.6508 0.2500
2 Tl 0.6508 0.3492 0.7500
3 Zn 0.6832 0.3168 0.2500
4 Zn 0.3168 0.6832 0.7500
5 Sn 0.0000 0.0000 0.5000
6 Sn 0.0000 0.0000 0.0000
7 Br 0.0932 0.9068 0.2500
8 Br 0.9068 0.0932 0.7500
9 Br 0.9112 0.3363 0.1327
10 Br 0.0888 0.6637 0.8673
11 Br 0.6637 0.0888 0.3673
12 Br 0.3363 0.9112 0.6327
13 Br 0.7432 0.6057 0.4346
14 Br 0.2568 0.3943 0.5654
15 Br 0.3943 0.2568 0.0654
16 Br 0.6057 0.7432 0.9346

Energy relative to the elements, uncorrected (meV/atom): -825.5
Final energy (Ry/atom): -0.208
M_tot (μB per formula unit): 0.00
DOS at the Fermi energy (states/eV per cell): 0.0
Space group: C2/c

=====

- Which formula does entry 1 have?
  LiCaSeBrF

=====

What did the third record say?
Here is a geometry-optimized Sr2PmScSe4 structure from the Alexandria database. Energies are from PBE-GGA.

Lattice parameters (Å, degrees): 4.1942 7.2543 7.4358 109.02 90.00 90.00
Positions (direct):
1 Sr 0.5000 0.0000 0.5000
2 Sr 0.0000 0.5000 0.5000
3 Pm 0.5000 0.5000 0.0000
4 Sc 0.0000 0.0000 0.0000
5 Se 0.5000 0.2304 0.2244
6 Se 0.5000 0.7696 0.7756
7 Se 0.0000 0.2442 0.7678
8 Se 0.0000 0.7558 0.2322

Energy relative to the elements, uncorrected (meV/atom): -1828.1
Final energy (Ry/atom): -0.395
M_tot (μB per formula unit): 0.00
DOS at the Fermi energy (states/eV per cell): 3.9
Space group: P2/m